Record 1
## La6FeBi2 (GGA-PBE)

Data for a geometry-optimized La6FeBi2 structure.

a b c (Å): 7.3745 7.3745 10.4115
angles (deg): 90.00 90.00 90.00
Atoms (fractional coordinates):
La1 0.0000 0.0000 0.2458
La2 0.0000 0.0000 0.7542
La3 0.2482 0.2509 0.0000
La4 0.2491 0.2518 0.5000
La5 0.2509 0.7518 0.0000
La6 0.2518 0.7509 0.5000
La7 0.5000 0.5000 0.2542
La8 0.5000 0.5000 0.7458
La9 0.7482 0.2491 0.5000
La10 0.7491 0.2482 0.0000
La11 0.7509 0.7482 0.5000
La12 0.7518 0.7491 0.0000
Fe1 0.0000 0.0000 0.5000
Fe2 0.5000 0.5000 0.0000
Bi1 0.0000 0.5000 0.2500
Bi2 0.0000 0.5000 0.7500
Bi3 0.5000 0.0000 0.2500
Bi4 0.5000 0.0000 0.7500

---

Record 2
## CdTcBi2 (GGA-PBE)

Data for a geometry-optimized CdTcBi2 structure.

a b c (Å): 6.7094 6.7094 12.2239
angles (deg): 90.00 90.00 90.00
Atoms (fractional coordinates):
Cd1 0.0000 0.0000 0.0000
Cd2 0.0000 0.5000 0.2500
Cd3 0.5000 0.0000 0.7500
Cd4 0.5000 0.5000 0.5000
Tc1 0.0000 0.0000 0.5000
Tc2 0.0000 0.5000 0.7500
Tc3 0.5000 0.0000 0.2500
Tc4 0.5000 0.5000 0.0000
Bi1 0.2021 0.2500 0.6250
Bi2 0.2500 0.7021 0.8750
Bi3 0.2500 0.7979 0.3750
Bi4 0.2979 0.2500 0.1250
Bi5 0.7021 0.7500 0.1250
Bi6 0.7500 0.2021 0.3750
Bi7 0.7500 0.2979 0.8750
Bi8 0.7979 0.7500 0.6250

---

Record 3
## AlSn2Os2 (GGA-PBE)

Data for a geometry-optimized AlSn2Os2 structure.

a b c (Å): 7.4399 7.4399 3.2872
angles (deg): 90.00 90.00 90.00
Atoms (fractional coordinates):
Al1 0.0000 0.0000 0.0000
Al2 0.5000 0.5000 0.0000
Sn1 0.1535 0.3465 0.5000
Sn2 0.3465 0.8465 0.5000
Sn3 0.6535 0.1535 0.5000
Sn4 0.8465 0.6535 0.5000
Os1 0.1463 0.6463 0.0000
Os2 0.3537 0.1463 0.0000
Os3 0.6463 0.8537 0.0000
Os4 0.8537 0.3537 0.0000

---

Record 4
## ZrCr2Os (GGA-PBE)

Data for a geometry-optimized ZrCr2Os structure.

a b c (Å): 3.0470 3.0470 6.3906
angles (deg): 90.00 90.00 90.00
Atoms (fractional coordinates):
Zr1 0.0000 0.0000 0.0000
Cr1 0.5000 0.5000 0.2739
Cr2 0.5000 0.5000 0.7261
Os1 0.0000 0.0000 0.5000

---

Record 5
## AlCuHIr2 (GGA-PBE)

Data for a geometry-optimized AlCuHIr2 structure.

a b c (Å): 4.7265 4.7265 2.9800
angles (deg): 90.00 90.00 90.00
Atoms (fractional coordinates):
Al1 0.0000 0.0000 0.0000
Cu1 0.5000 0.5000 0.5000
H1 0.0000 0.0000 0.5000
Ir1 0.0000 0.5000 0.0000
Ir2 0.5000 0.0000 0.0000

---

Record 6
## SrRu2Rh (GGA-PBE)

Data for a geometry-optimized SrRu2Rh structure.

a b c (Å): 2.8058 3.8736 6.8563
angles (deg): 90.00 90.00 90.00
Atoms (fractional coordinates):
Sr1 0.0000 0.0000 0.0000
Ru1 0.5000 0.5000 0.3188
Ru2 0.5000 0.5000 0.6812
Rh1 0.0000 0.0000 0.5000

---

Record 7
## MgBi5Au4 (GGA-PBE)

Data for a geometry-optimized MgBi5Au4 structure.

a b c (Å): 8.6039 8.6039 7.2149
angles (deg): 98.45 98.45 30.81
Atoms (fractional coordinates):
Mg1 0.0000 0.0000 0.0000
Bi1 0.0000 0.0000 0.5000
Bi2 0.3358 0.3358 0.0291
Bi3 0.3393 0.3393 0.5248
Bi4 0.6607 0.6607 0.4752
Bi5 0.6642 0.6642 0.9709
Au1 0.1688 0.1688 0.2192
Au2 0.4982 0.4982 0.7824
Au3 0.5018 0.5018 0.2176
Au4 0.8312 0.8312 0.7808

---

Record 8
## NaCd3Hg9 (GGA-PBE)

Data for a geometry-optimized NaCd3Hg9 structure.

a b c (Å): 8.0901 8.0901 8.1548
angles (deg): 96.62 96.62 136.57
Atoms (fractional coordinates):
Na1 0.0000 0.0000 0.0000
Cd1 0.0000 0.5000 0.0000
Cd2 0.5000 0.0000 0.0000
Cd3 0.5000 0.5000 0.5000
Hg1 0.0000 0.0000 0.5000
Hg2 0.0012 0.6456 0.6501
Hg3 0.2957 0.5025 0.7960
Hg4 0.3544 0.9988 0.3499
Hg5 0.4975 0.7043 0.2040
Hg6 0.5025 0.2957 0.7960
Hg7 0.6456 0.0012 0.6501
Hg8 0.7043 0.4975 0.2040
Hg9 0.9988 0.3544 0.3499

---

no.,calculated volume (Å³/atom),VASP energy (eV for the cell shown)
1,31.46,-100.2
2,34.39,-65.0
3,18.20,-65.0
4,14.83,-38.4
5,13.31,-25.0
6,18.63,-25.5
7,27.03,-35.0
8,26.82,-7.0